Record 1
Below is a relaxed HoV3 crystal, with properties calculated at the PBE level.

Cell lengths 3.305, 4.336, 4.961 Å; angles 90.00, 90.00, 90.00 degrees
Space group Pmm2 (No. 25)
Inequivalent atoms, fractional coordinates:
Ho: 0.000 0.000 0.000
V: 0.000 0.500 0.550
V: 0.500 0.000 0.490
V: 0.500 0.500 0.182

Properties
Density of states at the Fermi level ... 4.189 states/eV/f.u.
Total moment ... 0.0 Bohr magnetons per cell
E_form ... 1.863 eV/f.u.



Record 2
Below is a relaxed Ho4V crystal, with properties calculated at the PBE level.

Cell lengths 5.320, 5.320, 5.320 Å; angles 90.00, 90.00, 90.00 degrees
Space group Pm-3m (No. 221)
Inequivalent atoms, fractional coordinates:
Ho: 0.000 0.000 0.000
Ho: 0.000 0.500 0.500
V: 0.500 0.500 0.500

Properties
Density of states at the Fermi level ... 7.224 states/eV/f.u.
Total moment ... 0.9 Bohr magnetons per cell
E_form ... 2.236 eV/f.u.



Record 3
Below is a relaxed HoV2W crystal, with properties calculated at the PBE level.

Cell lengths 3.0762, 3.0762, 26.4404 Å; angles 90.00, 90.00, 120.00 degrees
Space group R-3m (No. 166, hexagonal axes)
Inequivalent atoms, fractional coordinates:
Ho: 0.0000 0.0000 0.0000
V: 0.0000 0.0000 0.2372
W: 0.0000 0.0000 0.5000

Properties
Density of states at the Fermi level ... 6.018 states/eV/f.u.
Total moment ... 0.0 Bohr magnetons per cell
E_form ... 2.038 eV/f.u.



Record 4
Below is a relaxed HoV4W crystal, with properties calculated at the PBE level.

Cell lengths 7.260, 7.260, 7.260 Å; angles 90.00, 90.00, 90.00 degrees
Space group F-43m (No. 216)
Inequivalent atoms, fractional coordinates:
Ho: 0.000 0.000 0.000
V: 0.125 0.125 0.625
W: 0.250 0.250 0.250

Properties
Density of states at the Fermi level ... 8.996 states/eV/f.u.
Total moment ... 0.0 Bohr magnetons per cell
E_form ... 1.450 eV/f.u.